(1)
SnSbSN2 PBE-GGA relaxed; uncorrected formation energy = 896.6 meV/atom
1.0
4.080 0.000 0.000
0.000 4.080 0.000
0.000 0.000 5.208
Sn Sb S N
1 1 1 2
direct
0.000 0.000 0.000 Sn
0.500 0.500 0.500 Sb
0.500 0.500 0.000 S
0.000 0.500 0.500 N
0.500 0.000 0.500 N

---

(2)
Se2NF PBE-GGA relaxed; uncorrected formation energy = 582.7 meV/atom
1.0
1.506 0.870 7.407
-1.506 0.870 7.407
0.000 -1.739 7.407
Se N F
2 1 1
direct
0.098 0.098 0.098 Se
0.902 0.902 0.902 Se
0.500 0.500 0.500 N
0.000 0.000 0.000 F

---

(3)
Material: Tm5Pb3
Method: DFT, PBE-GGA
State: relaxed

The structure in POSCAR format:
```
Tm5Pb3
1.0
-5.974 5.974 3.150
5.974 -5.974 3.150
5.974 5.974 -3.150
Tm Pb
10 6
direct
0.079 0.778 0.857 Tm
0.222 0.079 0.300 Tm
0.250 0.750 0.500 Tm
0.278 0.579 0.857 Tm
0.421 0.278 0.700 Tm
0.579 0.722 0.300 Tm
0.722 0.421 0.143 Tm
0.750 0.250 0.500 Tm
0.778 0.921 0.700 Tm
0.921 0.222 0.143 Tm
0.165 0.335 0.500 Pb
0.250 0.250 0.000 Pb
0.335 0.835 0.171 Pb
0.665 0.165 0.829 Pb
0.750 0.750 0.000 Pb
0.835 0.665 0.500 Pb
```

---

(4)
Material: La2VGe3Ir4
Method: DFT, PBE-GGA
State: relaxed

The structure in POSCAR format:
```
La2VGe3Ir4
1.0
4.237 0.000 0.000
0.000 4.237 0.000
0.000 0.000 10.498
La V Ge Ir
2 1 3 4
direct
0.000 0.500 0.248 La
0.500 0.000 0.752 La
0.500 0.500 0.000 V
0.000 0.000 0.000 Ge
0.000 0.500 0.629 Ge
0.500 0.000 0.371 Ge
0.000 0.000 0.500 Ir
0.000 0.500 0.869 Ir
0.500 0.000 0.131 Ir
0.500 0.500 0.500 Ir
```

---

(5)
Material: Ac3CoP
Method: DFT, PBE-GGA
State: relaxed

The structure in POSCAR format:
```
Ac3CoP
1.0
5.426 0.000 0.000
0.000 5.426 0.000
0.000 0.000 5.426
Ac Co P
3 1 1
direct
0.000 0.000 0.500 Ac
0.000 0.500 0.000 Ac
0.500 0.000 0.000 Ac
0.000 0.000 0.000 Co
0.500 0.500 0.500 P
```

---

(6)
Material: Pm8Ir2Rh
Method: DFT, PBE-GGA
State: relaxed

The structure in POSCAR format:
```
Pm8Ir2Rh
1.0
4.232 -6.349 0.000
4.232 6.349 0.000
-2.166 0.000 5.942
Pm Ir Rh
8 2 1
direct
0.000 0.000 0.000 Pm
0.014 0.277 0.574 Pm
0.148 0.562 0.191 Pm
0.277 0.014 0.574 Pm
0.437 0.701 0.796 Pm
0.562 0.148 0.191 Pm
0.701 0.437 0.796 Pm
0.715 0.715 0.383 Pm
0.047 0.673 0.692 Ir
0.673 0.047 0.692 Ir
0.361 0.361 0.366 Rh
```

---

(7)
Material: Sm2Cu2Ag3
Method: DFT, PBE-GGA
State: relaxed

The structure in POSCAR format:
```
Sm2Cu2Ag3
1.0
5.081 -2.034 0.000
5.081 2.034 0.000
-0.902 0.000 6.946
Sm Cu Ag
2 2 3
direct
0.125 0.125 0.328 Sm
0.875 0.875 0.672 Sm
0.415 0.415 0.356 Cu
0.585 0.585 0.644 Cu
0.187 0.187 0.866 Ag
0.500 0.500 0.000 Ag
0.813 0.813 0.134 Ag
```

---

(8)
Material: BaSrBi3
Method: DFT, PBE-GGA
State: relaxed

The structure in POSCAR format:
```
BaSrBi3
1.0
6.268 0.000 0.000
0.000 6.268 0.000
0.000 0.000 6.268
Ba Sr Bi
1 1 3
direct
0.000 0.000 0.000 Ba
0.500 0.500 0.500 Sr
0.000 0.000 0.500 Bi
0.000 0.500 0.000 Bi
0.500 0.000 0.000 Bi
```

---

(9)
Material: TaNi5Rh6
Method: DFT, PBE-GGA
State: relaxed

The structure in POSCAR format:
```
TaNi5Rh6
1.0
4.515 0.000 0.000
0.000 5.434 0.000
-0.356 0.000 6.489
Ta Ni Rh
1 5 6
direct
0.000 0.000 0.000 Ta
0.000 0.500 0.000 Ni
0.334 0.500 0.674 Ni
0.336 0.000 0.666 Ni
0.664 0.000 0.334 Ni
0.666 0.500 0.326 Ni
0.168 0.253 0.337 Rh
0.168 0.747 0.337 Rh
0.500 0.255 0.000 Rh
0.500 0.745 0.000 Rh
0.832 0.253 0.663 Rh
0.832 0.747 0.663 Rh
```

---

(10)
Material: Dy3PuCo3
Method: DFT, PBE-GGA
State: relaxed

The structure in POSCAR format:
```
Dy3PuCo3
1.0
5.944 -1.911 0.000
5.944 1.911 0.000
-5.754 0.000 12.873
Dy Pu Co
6 2 6
direct
0.003 0.003 0.139 Dy
0.097 0.097 0.423 Dy
0.233 0.233 0.705 Dy
0.767 0.767 0.295 Dy
0.903 0.903 0.577 Dy
0.997 0.997 0.861 Dy
0.266 0.266 0.098 Pu
0.734 0.734 0.902 Pu
0.391 0.391 0.956 Co
0.410 0.410 0.429 Co
0.437 0.437 0.271 Co
0.563 0.563 0.729 Co
0.590 0.590 0.571 Co
0.609 0.609 0.044 Co
```

---

(11)
Material: LaTa2Os
Method: DFT, PBE-GGA
State: relaxed

The structure in POSCAR format:
```
LaTa2Os
1.0
-2.012 2.012 5.012
2.012 -2.012 5.012
2.012 2.012 -5.012
La Ta Os
1 2 1
direct
0.000 0.000 0.000 La
0.250 0.750 0.500 Ta
0.750 0.250 0.500 Ta
0.500 0.500 0.000 Os
```

---

(12)
Material: SrSn4Rh
Method: DFT, PBE-GGA
State: relaxed

The structure in POSCAR format:
```
SrSn4Rh
1.0
2.302 -8.915 0.000
2.302 8.915 0.000
0.000 0.000 7.444
Sr Sn Rh
2 8 2
direct
0.120 0.880 0.750 Sr
0.880 0.120 0.250 Sr
0.067 0.933 0.250 Sn
0.310 0.690 0.541 Sn
0.310 0.690 0.959 Sn
0.500 0.500 0.000 Sn
0.500 0.500 0.500 Sn
0.690 0.310 0.041 Sn
0.690 0.310 0.459 Sn
0.933 0.067 0.750 Sn
0.214 0.786 0.250 Rh
0.786 0.214 0.750 Rh
```

---

Q: Which calculated volume values were calculated for the entries above? A: 17.34, 14.55, 28.11, 18.85, 31.96, 29.03, 20.51, 49.24, 13.27, 20.89, 20.29, 25.46, in Å³/atom.
Q: Which mass density values were calculated for the entries above? A: 5.76, 5.45, 10.83, 11.59, 8.01, 8.57, 8.69, 5.75, 11.39, 10.31, 14.14, 7.23, in g/cm3.
Q: Which E_tot values were calculated for the entries above? A: -4.88, -3.71, -4.62, -7.57, -5.12, -6.11, -3.95, -2.83, -7.18, -7.20, -9.39, -4.65, in eV per atom.